Record 1
{
  "formula": "Cd3P",
  "functional": "PBEsol",
  "state": "optimized geometry",
  "cell": [[3.0830, 0.2139, 0.0000], [-0.2246, 3.0822, 0.0000], [0.0000, 0.0000, 8.2460]],
  "species": ["Cd", "Cd", "Cd", "P"],
  "fractional_positions": [[0.0000, 0.0000, 0.2674], [0.5000, 0.5000, 0.0000], [0.0000, 0.0000, 0.7326], [0.5000, 0.5000, 0.5000]],
  "polymorph_energy_ev_per_atom": 0.046,
  "final_energy_ev_per_atom": -2.1180,
  "spacegroup": "Cmmm, No. 65",
  "formation_energy_kj_per_mol_fu": 88,
  "n_ef_per_ev_atom": 0.37
}


Record 2
{
  "formula": "FePPdSe2",
  "functional": "PBEsol",
  "state": "optimized geometry",
  "cell": [[4.3281, 0.0000, 0.0000], [0.0000, 5.0097, 0.0000], [0.0000, 0.0000, 5.0097]],
  "species": ["P", "Se", "Se", "Pd", "Fe"],
  "fractional_positions": [[0.5000, 0.0000, 0.0000], [0.0000, 0.0000, 0.5000], [0.0000, 0.5000, 0.0000], [0.0000, 0.0000, 0.0000], [0.5000, 0.5000, 0.5000]],
  "formation_energy_uncorrected_mev_per_atom": 873.4,
  "final_energy_ev_per_atom": -4.8094,
  "spacegroup": "P4/mmm, No. 123",
  "n_ef_per_ev_atom": 1.11
}


Record 3
{
  "formula": "NpPt3",
  "functional": "PBEsol",
  "state": "optimized geometry",
  "cell": [[-0.1795, -4.3475, -2.1268], [5.0353, -1.3470, 2.3285], [-4.8400, -1.1667, 2.7934]],
  "species": ["Np", "Np", "Pt", "Pt", "Pt", "Pt", "Pt", "Pt"],
  "fractional_positions": [[0.7500, 0.3333, 0.6667], [0.2500, 0.6667, 0.3333], [0.2500, 0.1633, 0.8367], [0.2500, 0.1633, 0.3267], [0.2500, 0.6733, 0.8367], [0.7500, 0.8367, 0.1633], [0.7500, 0.8367, 0.6733], [0.7500, 0.3267, 0.1633]],
  "final_energy_ev_per_atom": -9.1580,
  "spacegroup": "P6_3/mmc, No. 194",
  "formation_energy_kj_per_mol_fu": -183,
  "n_ef_per_ev_atom": 2.95
}


Record 4
{
  "formula": "ReAs2Rh",
  "functional": "PBEsol",
  "state": "optimized geometry",
  "cell": [[3.1103, 0.0000, 0.0000], [1.5551, 4.6523, 0.0151], [1.5551, 2.0019, 4.1995]],
  "species": ["Re", "As", "As", "Rh"],
  "fractional_positions": [[0.5000, 0.0000, 0.0000], [0.2553, 0.7447, 0.7447], [0.7447, 0.2553, 0.2553], [0.0000, 0.5000, 0.5000]],
  "polymorph_energy_ev_per_atom": 0.383,
  "final_energy_ev_per_atom": -7.5387,
  "spacegroup": "Immm, No. 71",
  "formation_energy_kj_per_mol_fu": 147,
  "n_ef_per_ev_atom": 0.78
}


Record 5
{
  "formula": "La2CdPb",
  "functional": "PBEsol",
  "state": "optimized geometry",
  "cell": [[5.4541, 0.0000, 0.0000], [2.7270, 4.7234, 0.0000], [2.7270, 1.5745, 4.4532]],
  "species": ["Pb", "Cd", "La", "La"],
  "fractional_positions": [[0.2500, 0.2500, 0.2500], [0.5000, 0.5000, 0.5000], [0.0000, 0.0000, 0.0000], [0.7500, 0.7500, 0.7500]],
  "final_energy_ev_per_atom": -4.0213,
  "spacegroup": "F-43m, No. 216",
  "formation_energy_kj_per_mol_fu": -19,
  "n_ef_per_ev_atom": 1.84
}


Record 6
{
  "formula": "MoIr2",
  "functional": "PBEsol",
  "state": "optimized geometry",
  "cell": [[5.0555, 0.0000, 0.0000], [2.5277, 4.3782, 0.0000], [2.5277, 1.4594, 4.1278]],
  "species": ["Ir", "Ir", "Ir", "Ir", "Mo", "Mo"],
  "fractional_positions": [[0.1250, 0.6250, 0.6250], [0.6250, 0.6250, 0.6250], [0.6250, 0.6250, 0.1250], [0.6250, 0.1250, 0.6250], [0.0000, 0.0000, 0.0000], [0.2500, 0.2500, 0.2500]],
  "final_energy_ev_per_atom": -10.2205,
  "spacegroup": "Fd-3m, No. 227",
  "formation_energy_kj_per_mol_fu": 73,
  "n_ef_per_ev_atom": 1.42
}


Record 7
{
  "formula": "CsKNiF2",
  "functional": "PBEsol",
  "state": "optimized geometry",
  "cell": [[-3.9008, 1.9780, 1.6682], [-2.2640, -4.0702, -0.4679], [1.2479, -1.1920, 4.3313]],
  "species": ["Cs", "Ni", "K", "F", "F"],
  "fractional_positions": [[0.5000, 0.5000, 0.5000], [0.0000, 0.0000, 0.0000], [0.0000, 0.0000, 0.5000], [0.0000, 0.5000, 0.0000], [0.5000, 0.0000, 0.0000]],
  "formation_energy_uncorrected_mev_per_atom": -848.2,
  "final_energy_ev_per_atom": -3.2658,
  "spacegroup": "P4/mmm, No. 123",
  "n_ef_per_ev_atom": 0.35
}


Record 8
{
  "formula": "SiH3Au",
  "functional": "PBEsol",
  "state": "optimized geometry",
  "cell": [[3.6884, 0.0000, 0.0000], [0.0000, 3.6884, 0.0000], [0.0000, 0.0000, 3.6884]],
  "species": ["H", "H", "H", "Si", "Au"],
  "fractional_positions": [[0.0000, 0.5000, 0.0000], [0.0000, 0.0000, 0.5000], [0.5000, 0.0000, 0.0000], [0.5000, 0.5000, 0.5000], [0.0000, 0.0000, 0.0000]],
  "final_energy_ev_per_atom": -3.2459,
  "spacegroup": "Pm-3m, No. 221",
  "n_ef_per_ev_atom": 0.30
}


Record 9
{
  "formula": "SiGeI2O",
  "functional": "PBEsol",
  "state": "optimized geometry",
  "cell": [[3.5015, 0.0000, 0.0000], [0.0000, 5.5690, 0.0000], [0.0000, 0.0000, 5.5690]],
  "species": ["I", "I", "Ge", "Si", "O"],
  "fractional_positions": [[0.0000, 0.0000, 0.5000], [0.0000, 0.5000, 0.0000], [0.5000, 0.5000, 0.5000], [0.0000, 0.0000, 0.0000], [0.5000, 0.0000, 0.0000]],
  "formation_energy_uncorrected_mev_per_atom": -294.1,
  "final_energy_ev_per_atom": -4.1878,
  "spacegroup": "P4/mmm, No. 123",
  "n_ef_per_ev_atom": 0.35
}


Record 10
{
  "formula": "MgRePb2",
  "functional": "PBEsol",
  "state": "optimized geometry",
  "cell": [[3.5021, 0.0000, 0.0000], [0.0000, 4.6076, 0.0000], [-1.7511, 0.0000, 5.2537]],
  "species": ["Mg", "Pb", "Pb", "Re"],
  "fractional_positions": [[0.6768, 0.5000, 0.3537], [0.0981, 0.0000, 0.1961], [0.4026, 0.5000, 0.8053], [0.8177, 0.0000, 0.6354]],
  "final_energy_ev_per_atom": -5.1473,
  "spacegroup": "Amm2, No. 38",
  "formation_energy_kj_per_mol_fu": 237,
  "n_ef_per_ev_atom": 0.61
}


Record 11
{
  "formula": "SrMnBr3",
  "functional": "PBEsol",
  "state": "optimized geometry",
  "cell": [[5.1408, 0.0000, 0.0000], [0.0000, 5.1408, 0.0000], [0.0000, 0.0000, 5.1408]],
  "species": ["Sr", "Mn", "Br", "Br", "Br"],
  "fractional_positions": [[0.5000, 0.5000, 0.5000], [0.0000, 0.0000, 0.0000], [0.0000, 0.5000, 0.0000], [0.0000, 0.0000, 0.5000], [0.5000, 0.0000, 0.0000]],
  "formation_energy_uncorrected_mev_per_atom": -931.9,
  "final_energy_ev_per_atom": -4.3742,
  "spacegroup": "Pm-3m, No. 221",
  "n_ef_per_ev_atom": 0.52
}


Record 12
{
  "formula": "CsTe2N",
  "functional": "PBEsol",
  "state": "optimized geometry",
  "cell": [[6.2239, 0.0000, 0.0000], [0.0000, 6.2239, 0.0000], [-3.1120, -3.1120, 6.6856]],
  "species": ["Cs", "Cs", "Te", "Te", "Te", "Te", "N", "N"],
  "fractional_positions": [[0.0000, 0.0000, 0.0000], [0.2500, 0.7500, 0.5000], [0.6250, 0.3750, 0.7500], [0.1250, 0.3750, 0.7500], [0.6250, 0.8750, 0.2500], [0.6250, 0.3750, 0.2500], [0.5000, 0.5000, 0.0000], [0.7500, 0.2500, 0.5000]],
  "formation_energy_uncorrected_mev_per_atom": 126.1,
  "final_energy_ev_per_atom": -4.0042,
  "spacegroup": "I4_1/amd, No. 141",
  "n_ef_per_ev_atom": 0.58
}